Below is a geometry-optimized GaAsH structure, with properties calculated at the GGA-PBE level.

Output
* spin magnetization: 0.000 μB/atom
* energy above the most stable polymorph in this dataset: 0.000 eV per atom
* DOS(E_F): 0.0867 states/eV per atom
* density: 4.185 g/cm3
* calculated volume: 19.264 Å³/atom

Unit cell a=11.9877 b=3.6630 c=5.2645 alpha=90.00 beta=90.00 gamma=90.00
Sites, in units of the cell vectors:
Ga: 0.1215 0.2500 0.0758
Ga: 0.3785 0.7500 0.5758
Ga: 0.6215 0.2500 0.4242
Ga: 0.8785 0.7500 0.9242
As: 0.0058 0.7500 0.2979
As: 0.4942 0.2500 0.7979
As: 0.5058 0.7500 0.2021
As: 0.9942 0.2500 0.7021
H: 0.2480 0.7500 0.5911
H: 0.2520 0.2500 0.0911
H: 0.7480 0.7500 0.9089
H: 0.7520 0.2500 0.4089

=====

Below is a geometry-optimized Ga2AsH structure, with properties calculated at the GGA-PBE level.

Output
* spin magnetization: 0.000 μB/atom
* energy above the most stable polymorph in this dataset: 0.033 eV per atom
* DOS(E_F): 0.0366 states/eV per atom
* density: 5.340 g/cm3
* calculated volume: 16.742 Å³/atom

Unit cell a=7.3569 b=7.3569 c=7.3569 alpha=144.44 beta=144.44 gamma=51.17
Sites, in units of the cell vectors:
Ga: 0.0310 0.6250 0.9060
Ga: 0.3750 0.2810 0.4060
Ga: 0.7190 0.1250 0.0940
Ga: 0.8750 0.9690 0.5940
As: 0.2500 0.7500 0.5000
As: 0.5000 0.5000 0.0000
H: 0.0000 0.0000 0.0000
H: 0.7500 0.2500 0.5000

=====

Below is a geometry-optimized GaAsH structure, with properties calculated at the GGA-PBE level.

Output
* spin magnetization: 0.000 μB/atom
* energy above the most stable polymorph in this dataset: 0.005 eV per atom
* DOS(E_F): 0.3724 states/eV per atom
* density: 4.628 g/cm3
* calculated volume: 17.420 Å³/atom

Unit cell a=2.7459 b=2.9422 c=14.6392 alpha=87.64 beta=88.01 gamma=62.21
Sites, in units of the cell vectors:
Ga: 0.0000 0.0000 0.0000
Ga: 0.4809 0.9745 0.1714
As: 0.0180 0.0311 0.8228
As: 0.4602 0.9467 0.3486
H: 0.7790 0.7514 0.5670
H: 0.9103 0.7974 0.6073

=====

Below is a geometry-optimized In2GaAsH structure, with properties calculated at the GGA-PBE level.

Output
* E: -3.058 eV per atom
* spin magnetization: 0.000 μB/atom
* DOS(E_F): 0.4337 states/eV per atom
* density: 6.277 g/cm3
* calculated volume: 19.856 Å³/atom

Unit cell a=4.7607 b=4.7607 c=4.3805 alpha=90.00 beta=90.00 gamma=90.00
Sites, in units of the cell vectors:
In: 0.0000 0.5000 0.0000
In: 0.5000 0.0000 0.0000
Ga: 0.0000 0.0000 0.5000
As: 0.5000 0.5000 0.5000
H: 0.0000 0.0000 0.0000

=====

Below is a geometry-optimized K2GaAsH structure, with properties calculated at the GGA-PBE level.

Output
* E: -2.940 eV per atom
* spin magnetization: 0.000 μB/atom
* DOS(E_F): 0.3258 states/eV per atom
* density: 2.755 g/cm3
* calculated volume: 26.986 Å³/atom

Unit cell a=6.5403 b=4.1582 c=10.1602 alpha=90.00 beta=102.41 gamma=90.00
Sites, in units of the cell vectors:
K: 0.2126 0.2500 0.4271
K: 0.2709 0.7500 0.0599
K: 0.7291 0.2500 0.9401
K: 0.7874 0.7500 0.5729
Ga: 0.3448 0.7500 0.7324
Ga: 0.6552 0.2500 0.2676
As: 0.1568 0.2500 0.7795
As: 0.8432 0.7500 0.2205
H: 0.3673 0.7500 0.5704
H: 0.6327 0.2500 0.4296

=====

Below is a geometry-optimized KGaAsH structure, with properties calculated at the GGA-PBE level.

Output
* E: -3.433 eV per atom
* spin magnetization: 0.000 μB/atom
* density: 3.494 g/cm3
* calculated volume: 21.952 Å³/atom

Unit cell a=4.0943 b=4.0943 c=6.0481 alpha=90.00 beta=90.00 gamma=120.00
Sites, in units of the cell vectors:
K: 0.0000 0.0000 0.0000
Ga: 0.6667 0.3333 0.5463
As: 0.3333 0.6667 0.4060
H: 0.6667 0.3333 0.8197

=====

Below is a geometry-optimized Ga2Ni6AsH structure, with properties calculated at the GGA-PBE level.

Output
* E: -4.718 eV per atom
* spin magnetization: 0.000 μB/atom
* DOS(E_F): 0.9313 states/eV per atom
* density: 7.287 g/cm3
* calculated volume: 12.933 Å³/atom

Unit cell a=4.1700 b=4.1700 c=7.4377 alpha=90.00 beta=90.00 gamma=90.00
Sites, in units of the cell vectors:
Ga: 0.0000 0.0000 0.2178
Ga: 0.0000 0.0000 0.7822
Ni: 0.0000 0.5000 0.0000
Ni: 0.0000 0.5000 0.5000
Ni: 0.5000 0.0000 0.0000
Ni: 0.5000 0.0000 0.5000
Ni: 0.5000 0.5000 0.2065
Ni: 0.5000 0.5000 0.7935
As: 0.5000 0.5000 0.5000
H: 0.5000 0.5000 0.0000

=====

Below is a geometry-optimized Ga2Ni7AsH2 structure, with properties calculated at the GGA-PBE level.

Output
* E: -5.016 eV per atom
* spin magnetization: 0.000 μB/atom
* DOS(E_F): 0.5172 states/eV per atom
* density: 8.342 g/cm3
* calculated volume: 10.405 Å³/atom

Unit cell a=3.6079 b=3.6079 c=9.6968 alpha=95.92 beta=95.92 gamma=90.21
Sites, in units of the cell vectors:
Ga: 0.1198 0.1198 0.3808
Ga: 0.8802 0.8802 0.6192
Ni: 0.0587 0.5625 0.1911
Ni: 0.3808 0.3808 0.6114
Ni: 0.4375 0.9413 0.8089
Ni: 0.5000 0.5000 0.0000
Ni: 0.5625 0.0587 0.1911
Ni: 0.6192 0.6192 0.3886
Ni: 0.9413 0.4375 0.8089
As: 0.0000 0.0000 0.0000
H: 0.4416 0.4416 0.8018
H: 0.5584 0.5584 0.1982